Li2LaSn2Pd: optimized geometry, GGA-PBE.

The structure in POSCAR format:
```
Li2LaSn2Pd
1.0
-4.0556 2.4203 1.9335
-0.6544 -3.8952 -3.2315
-0.0795 -3.9378 4.7626
Li Sn La Pd
2 2 1 1
direct
0.0000 0.0000 0.2212
0.0000 0.0000 0.7788
0.6667 0.3333 0.0000
0.3333 0.6667 0.5000
0.6667 0.3333 0.5000
0.3333 0.6667 0.0000
```

=====

LiLaPm: optimized geometry, GGA-PBE.

The structure in POSCAR format:
```
LiLaPm
1.0
0.0000 3.6650 3.6650
3.6650 0.0000 3.6650
3.6650 3.6650 0.0000
La Li Pm
1 1 1
direct
0.2500 0.2500 0.2500
0.0000 0.0000 0.0000
0.7500 0.7500 0.7500
```

=====

LiLaPr: optimized geometry, GGA-PBE.

The structure in POSCAR format:
```
LiLaPr
1.0
0.0000 3.6852 3.6852
3.6852 0.0000 3.6852
3.6852 3.6852 0.0000
Li Pr La
1 1 1
direct
0.2500 0.2500 0.2500
0.0000 0.0000 0.0000
0.5000 0.5000 0.5000
```

=====

| no. | DFT total energy (eV/atom) |
| --- | --- |
| 1 | -3.99 |
| 2 | -3.41 |
| 3 | -3.43 |